An optimized crystal structure of Nd12Dy2Tm5. Source: Alexandria, functional PBE.

The value obtained for the uncorrected energy is -4.561 eV per atom. As for the formation enthalpy at 0 K: 0.1110 eV per atom.

The space group is C2/m (No. 12) and the conventional cell measures 13.025, 11.730 and 9.481 Å, with angles of 90.00, 117.28 and 90.00 degrees. The distinct sites, in fractional coordinates, are Nd at (0.064, 0.000, 0.284), Nd at (0.101, 0.241, 0.904), Nd at (0.102, 0.500, 0.425), Nd at (0.212, 0.239, 0.310), Dy at (0.000, 0.215, 0.500), Tm at (0.000, 0.500, 0.000), Tm at (0.197, 0.000, 0.734) and Tm at (0.220, 0.500, 0.861).



An optimized crystal structure of YTaW2. Source: Alexandria, functional PBE.

The value obtained for the uncorrected energy is -9.985 eV per atom. As for the formation enthalpy at 0 K: 1.0707 eV per atom.

The space group is I-42d (No. 122) and the conventional cell measures 7.635, 7.635 and 5.694 Å, with angles of 90.00, 90.00 and 90.00 degrees. The distinct sites, in fractional coordinates, are Y at (0.000, 0.000, 0.000), Ta at (0.000, 0.000, 0.500) and W at (0.219, 0.750, 0.625).



An optimized crystal structure of AcLaAgSb. Source: Alexandria, functional PBE.

The value obtained for the uncorrected energy is -4.613 eV per atom. Its formation energy from raw total energies is -235 kJ/mol of formula units.

The space group is F-43m (No. 216) and the conventional cell measures 7.904, 7.904 and 7.904 Å, with angles of 90.00, 90.00 and 90.00 degrees. The distinct sites, in fractional coordinates, are Ac at (0.000, 0.000, 0.000), La at (0.000, 0.000, 0.500), Ag at (0.250, 0.250, 0.750) and Sb at (0.250, 0.250, 0.250).



An optimized crystal structure of LiLa12Cd6. Source: Alexandria, functional PBE.

The value obtained for the uncorrected energy is -3.638 eV per atom. As for the formation enthalpy at 0 K: -0.1361 eV per atom.

The space group is R-3 (No. 148, hexagonal axes) and the conventional cell measures 11.6251, 11.6251 and 14.9600 Å, with angles of 90.00, 90.00 and 120.00 degrees. The distinct sites, in fractional coordinates, are Li at (0.0000, 0.0000, 0.0000), La at (0.0368, 0.1948, 0.8070), La at (0.0624, 0.8455, 0.4047) and Cd at (0.0496, 0.4540, 0.7018).



An optimized crystal structure of CuTc. Source: Alexandria, functional PBE.

The value obtained for the uncorrected energy is -7.023 eV per atom. As for the formation enthalpy at 0 K: 0.2078 eV per atom.

The space group is Amm2 (No. 38) and the conventional cell measures 4.299, 7.933 and 4.691 Å, with angles of 90.00, 90.00 and 90.00 degrees. The distinct sites, in fractional coordinates, are Cu at (0.000, 0.000, 0.000), Cu at (0.500, 0.161, 0.833), Tc at (0.000, 0.168, 0.503) and Tc at (0.500, 0.000, 0.330).



An optimized crystal structure of Na2Ga3CuPt4. Source: Alexandria, functional PBE.

The value obtained for the uncorrected energy is -4.496 eV per atom. As for the formation enthalpy at 0 K: -0.4981 eV per atom.

The space group is P-4m2 (No. 115) and the conventional cell measures 4.107, 4.107 and 10.889 Å, with angles of 90.00, 90.00 and 90.00 degrees. The distinct sites, in fractional coordinates, are Na at (0.000, 0.500, 0.244), Ga at (0.000, 0.000, 0.000), Ga at (0.000, 0.500, 0.638), Cu at (0.500, 0.500, 0.000), Pt at (0.000, 0.000, 0.500), Pt at (0.000, 0.500, 0.862) and Pt at (0.500, 0.500, 0.500).



An optimized crystal structure of NaPu2AgTe4. Source: Alexandria, functional PBE.

The value obtained for the uncorrected energy is -6.515 eV per atom. Its formation energy from raw total energies is -648 kJ/mol of formula units.

The space group is Cmcm (No. 63) and the conventional cell measures 4.438, 14.561 and 15.663 Å, with angles of 90.00, 90.00 and 90.00 degrees. The distinct sites, in fractional coordinates, are Na at (0.000, 0.131, 0.250), Pu at (0.000, 0.368, 0.070), Ag at (0.000, 0.153, 0.750), Te at (0.000, 0.000, 0.000), Te at (0.000, 0.276, 0.611) and Te at (0.000, 0.462, 0.250).



An optimized crystal structure of Li8AcZn4. Source: Alexandria, functional PBE.

The value obtained for the uncorrected energy is -2.008 eV per atom. As for the formation enthalpy at 0 K: -0.1219 eV per atom.

The space group is I4/mmm (No. 139) and the conventional cell measures 9.605, 9.605 and 5.316 Å, with angles of 90.00, 90.00 and 90.00 degrees. The distinct sites, in fractional coordinates, are Li at (0.000, 0.233, 0.000), Li at (0.000, 0.351, 0.500), Ac at (0.000, 0.000, 0.500) and Zn at (0.250, 0.250, 0.250).



Total magnetization per entry: 0.000 0.000 0.007 0.000 0.000 0.000 10.000 0.000 μB/f.u.